Below is an optimized crystal structure of Ba2FeSO, with properties calculated at the GGA+U level.

```
Ba2FeSO
1.0
5.822 0.000 0.000
0.000 5.822 0.000
0.000 0.000 3.769
Ba Fe S O
2 1 1 1
direct
0.000 0.500 0.000
0.500 0.000 0.000
0.000 0.000 0.000
0.500 0.500 0.500
0.000 0.000 0.500
```

## Properties
The value obtained for the uncorrected energy is -4.635 eV per atom.